# 1
ErMgZn: optimized geometry, PBE.

* calculated formation energy: -46 meV/atom
* M_tot: 0.5 μB/f.u.
* raw total energy: -7.57 eV/cell
* Fermi-level density of states: 1.519 states/eV per atom
* symmetry: F-43m

Cell lengths 4.7178, 4.7178, 4.7178 Å; angles 60.00, 60.00, 60.00 degrees
Each line ends with the local moment (μB).
Positions (direct):
Mg 0.5000 0.5000 0.5000  0.01
Er 0.0000 0.0000 0.0000  0.21
Zn 0.2500 0.2500 0.2500  0.07

***

# 2
Cu3PtAu: optimized geometry, PBE.

* calculated formation energy: 203 meV/atom
* M_tot: 0.0 μB/f.u.
* raw total energy: -41.18 eV/cell
* Fermi-level density of states: 0.237 states/eV per atom
* symmetry: R3c

Cell lengths 5.4694, 5.4694, 5.4694 Å; angles 82.78, 82.78, 82.78 degrees
Positions (direct):
Cu 0.0112 0.6887 0.3918
Cu 0.3918 0.0112 0.6887
Cu 0.6887 0.3918 0.0112
Cu 0.1887 0.5112 0.8918
Cu 0.5112 0.8918 0.1887
Pt 0.8164 0.8164 0.8164
Cu 0.8918 0.1887 0.5112
Pt 0.3164 0.3164 0.3164
Au 0.5633 0.5633 0.5633
Au 0.0633 0.0633 0.0633

***

# 3
La2RuC2: optimized geometry, PBE.

* calculated formation energy: -169 meV/atom
* M_tot: 0.0 μB/f.u.
* raw total energy: -153.69 eV/cell
* Fermi-level density of states: 0.643 states/eV per atom
* symmetry: Pnma

Cell lengths 5.5034, 6.5918, 10.3238 Å; angles 90.00, 90.00, 90.00 degrees
Positions (direct):
C 0.7500 0.4748 0.7533
C 0.7500 0.8114 0.0367
Ru 0.2500 0.7669 0.3561
La 0.2500 0.8024 0.0470
La 0.7500 0.0190 0.2809
C 0.7500 0.3114 0.4633
C 0.7500 0.9748 0.7467
C 0.2500 0.5252 0.2467
Ru 0.2500 0.2669 0.1439
La 0.7500 0.6976 0.5470
La 0.2500 0.4810 0.7809
C 0.2500 0.1886 0.9633
La 0.2500 0.3024 0.4530
Ru 0.7500 0.2331 0.6439
La 0.2500 0.9810 0.7191
La 0.7500 0.5190 0.2191
C 0.2500 0.6886 0.5367
La 0.7500 0.1976 0.9530
Ru 0.7500 0.7331 0.8561
C 0.2500 0.0252 0.2533

***

# 4
HgRhCl2: optimized geometry, PBE.

* M_tot: 0.9 μB/f.u.
* raw total energy: -12.01 eV/cell
* Fermi-level density of states: 0.900 states/eV per atom
* symmetry: Cmmm
* formation energy without anion corrections: -0.17 eV/atom

Cell lengths 3.6880, 3.6880, 9.9322 Å; angles 90.00, 90.00, 125.13 degrees
Each line ends with the local moment (μB).
Positions (direct):
Rh 0.5000 0.5000 0.7500  0.74
Cl 0.0000 0.0000 0.9112  0.04
Cl 0.0000 0.0000 0.5888  0.04
Hg 0.5000 0.5000 0.2500  0.00

***

# 5
CdTe2Ir: optimized geometry, PBE.

* M_tot: 0.0 μB/f.u.
* raw total energy: -16.63 eV/cell
* Fermi-level density of states: 0.437 states/eV per atom
* symmetry: C2/m
* formation energy without anion corrections: -0.14 eV/atom

Cell lengths 4.0427, 4.0427, 7.5657 Å; angles 74.90, 74.90, 60.05 degrees
Positions (direct):
Te 0.9776 0.9776 0.0618
Cd 0.7500 0.7500 0.7500
Te 0.5224 0.5224 0.4382
Ir 0.2500 0.2500 0.2500

***

# 6
Tm2NiOs: optimized geometry, PBE.

* calculated formation energy: -383 meV/atom
* M_tot: 0.0 μB/f.u.
* raw total energy: -27.49 eV/cell
* Fermi-level density of states: 0.402 states/eV per atom
* symmetry: Fm-3m

Cell lengths 4.7333, 4.7333, 4.7333 Å; angles 60.00, 60.00, 60.00 degrees
Positions (direct):
Tm 0.7500 0.7500 0.7500
Os 0.0000 0.0000 0.0000
Tm 0.2500 0.2500 0.2500
Ni 0.5000 0.5000 0.5000

***

# 7
Hf4Ir3Rh: optimized geometry, PBE.

* calculated formation energy: -915 meV/atom
* M_tot: 0.0 μB/f.u.
* raw total energy: -81.07 eV/cell
* Fermi-level density of states: 0.539 states/eV per atom
* symmetry: I4/mmm

Cell lengths 4.5707, 4.5708, 7.5122 Å; angles 107.73, 107.71, 90.00 degrees
Positions (direct):
Rh 0.5000 0.0000 0.0000
Hf 0.3754 0.3754 0.7508
Hf 0.6246 0.6246 0.2492
Hf 0.1246 0.1247 0.2492
Ir 0.0000 0.5000 0.0000
Ir 0.7368 0.2368 0.4736
Ir 0.2632 0.7632 0.5264
Hf 0.8754 0.8753 0.7508

***

# 8
KTa3V: optimized geometry, PBE.

* calculated formation energy: 3009 meV/atom
* M_tot: 2.2 μB/f.u.
* raw total energy: -30.73 eV/cell
* Fermi-level density of states: 1.363 states/eV per atom
* symmetry: Pm-3m

Cell lengths 4.6085, 4.6085, 4.6085 Å; angles 90.00, 90.00, 90.00 degrees
Each line ends with the local moment (μB).
Positions (direct):
V 0.5000 0.5000 0.5000  2.13
Ta 0.0000 0.0000 0.5000  -0.09
K 0.0000 0.0000 0.0000  0.01
Ta 0.5000 0.0000 0.0000  -0.09
Ta 0.0000 0.5000 0.0000  -0.09

***

# 9
AcSmY6: optimized geometry, PBE.

* calculated formation energy: 146 meV/atom
* M_tot: 0.0 μB/f.u.
* raw total energy: -46.45 eV/cell
* Fermi-level density of states: 1.871 states/eV per atom
* symmetry: P-1

Cell lengths 8.7583, 9.8099, 6.5744 Å; angles 41.76, 48.22, 55.88 degrees
Positions (direct):
Y 0.2461 0.0430 0.2530
Y 0.9574 0.4581 0.8305
Y 0.7539 0.9570 0.7470
Y 0.5419 0.7539 0.6614
Sm 0.0000 0.0000 0.0000
Y 0.0426 0.5419 0.1695
Y 0.4581 0.2461 0.3386
Ac 0.5000 0.5000 0.5000

***

# 10
Ca2La2Ge: optimized geometry, PBE.

* calculated formation energy: 232 meV/atom
* M_tot: 0.0 μB/f.u.
* raw total energy: -17.32 eV/cell
* Fermi-level density of states: 1.110 states/eV per atom
* symmetry: I4/mmm

Cell lengths 4.1824, 4.1824, 10.4266 Å; angles 78.43, 78.43, 90.00 degrees
Positions (direct):
Ca 0.5816 0.5816 0.8367
Ca 0.4184 0.4184 0.1633
La 0.2500 0.7500 0.5000
La 0.7500 0.2500 0.5000
Ge 0.0000 0.0000 0.0000

***

# 11
SmPaGe4: optimized geometry, PBE.

* calculated formation energy: -195 meV/atom
* M_tot: 0.5 μB/f.u.
* raw total energy: -33.85 eV/cell
* Fermi-level density of states: 0.874 states/eV per atom
* symmetry: F-43m

Cell lengths 5.5962, 5.5962, 5.5962 Å; angles 60.00, 60.00, 60.00 degrees
Each line ends with the local moment (μB).
Positions (direct):
Pa 0.2500 0.2500 0.2500  0.37
Ge 0.1244 0.6252 0.6252  -0.01
Ge 0.6252 0.1244 0.6252  -0.01
Ge 0.6252 0.6252 0.6252  -0.01
Sm 0.0000 0.0000 0.0000  0.08
Ge 0.6252 0.6252 0.1244  -0.01

***

# 12
Rb2CeSe2Cl2: optimized geometry, PBE.

* M_tot: 0.2 μB/f.u.
* raw total energy: -30.76 eV/cell
* Fermi-level density of states: 0.320 states/eV per atom
* symmetry: I4/mmm
* formation energy without anion corrections: -1.75 eV/atom

Cell lengths 5.6077, 5.6077, 9.2339 Å; angles 107.68, 107.68, 90.00 degrees
Each line ends with the local moment (μB).
Positions (direct):
Cl 0.1644 0.1644 0.3288  0.00
Se 0.5000 0.0000 0.0000  -0.02
Se 0.0000 0.5000 0.0000  -0.02
Rb 0.3618 0.3618 0.7235  0.00
Rb 0.6382 0.6382 0.2765  0.00
Ce 0.0000 0.0000 0.0000  0.21
Cl 0.8356 0.8356 0.6712  0.00

***

# 13
LiAlSe2: optimized geometry, PBE.

* M_tot: 0.0 μB/f.u.
* raw total energy: -15.58 eV/cell
* Fermi-level density of states: 0.266 states/eV per atom
* symmetry: Cm
* formation energy without anion corrections: -0.74 eV/atom

Cell lengths 6.8216, 6.8216, 3.6747 Å; angles 89.85, 89.85, 28.43 degrees
Positions (direct):
Li 0.7745 0.7745 0.8731
Al 0.5540 0.5540 0.3763
Se 0.9710 0.9710 0.8768
Se 0.2006 0.2006 0.3739

***

# 14
CePaGe2O8: optimized geometry, PBE.

* M_tot: 1.1 μB/f.u.
* raw total energy: -95.75 eV/cell
* Fermi-level density of states: 0.659 states/eV per atom
* symmetry: I-4m2
* formation energy without anion corrections: -2.62 eV/atom

Cell lengths 6.0384, 6.0384, 6.0384 Å; angles 107.08, 107.08, 114.36 degrees
Each line ends with the local moment (μB).
Positions (direct):
Ge 0.5000 0.5000 0.0000  0.00
O 0.3135 0.4927 0.1792  -0.01
Ge 0.7500 0.2500 0.5000  0.00
O 0.7651 0.0753 0.6898  -0.01
O 0.5073 0.6865 0.8208  -0.01
O 0.8657 0.6865 0.1792  -0.01
O 0.3856 0.0753 0.3102  -0.01
O 0.9247 0.2349 0.3102  -0.01
Ce 0.2500 0.7500 0.5000  0.69
O 0.9247 0.6144 0.6898  -0.01
O 0.3135 0.1343 0.8208  -0.01
Pa 0.0000 0.0000 0.0000  0.37

***

# 15
AcNdSmSe3: optimized geometry, PBE.

* M_tot: 0.8 μB/f.u.
* raw total energy: -68.23 eV/cell
* Fermi-level density of states: 0.424 states/eV per atom
* symmetry: P2_1/m
* formation energy without anion corrections: -1.68 eV/atom

Cell lengths 4.2392, 8.2944, 10.6893 Å; angles 103.62, 90.00, 90.00 degrees
Each line ends with the local moment (μB).
Positions (direct):
Sm 0.7500 0.3403 0.9050  0.11
Ac 0.7500 0.8149 0.7913  0.01
Sm 0.2500 0.6597 0.0950  0.11
Se 0.7500 0.9040 0.1084  0.01
Se 0.2500 0.7986 0.5651  0.01
Se 0.7500 0.2014 0.4349  0.01
Se 0.2500 0.0960 0.8916  0.01
Nd 0.7500 0.8276 0.3777  0.17
Nd 0.2500 0.1724 0.6223  0.17
Ac 0.2500 0.1851 0.2087  0.01
Se 0.7500 0.4722 0.1909  0.00
Se 0.2500 0.5278 0.8091  0.00

***

# 16
Ba2ThSn3Pt4: optimized geometry, PBE.

* calculated formation energy: -843 meV/atom
* M_tot: 0.0 μB/f.u.
* raw total energy: -55.87 eV/cell
* Fermi-level density of states: 0.584 states/eV per atom
* symmetry: P-4m2

Cell lengths 4.8412, 4.8412, 11.1136 Å; angles 90.00, 90.00, 90.00 degrees
Positions (direct):
Sn 0.0000 0.5000 0.1156
Th 0.5000 0.5000 0.5000
Sn 0.0000 0.0000 0.5000
Pt 0.0000 0.5000 0.3612
Pt 0.5000 0.0000 0.6388
Ba 0.5000 0.0000 0.2284
Ba 0.0000 0.5000 0.7716
Pt 0.0000 0.0000 0.0000
Sn 0.5000 0.0000 0.8844
Pt 0.5000 0.5000 0.0000

***

# 17
ZnCd3Pt: optimized geometry, PBE.

* calculated formation energy: 585 meV/atom
* M_tot: 0.0 μB/f.u.
* raw total energy: -7.14 eV/cell
* Fermi-level density of states: 0.565 states/eV per atom
* symmetry: Pm-3m

Cell lengths 4.9065, 4.9065, 4.9065 Å; angles 90.00, 90.00, 90.00 degrees
Positions (direct):
Cd 0.0000 0.0000 0.5000
Zn 0.0000 0.0000 0.0000
Cd 0.0000 0.5000 0.0000
Cd 0.5000 0.0000 0.0000
Pt 0.5000 0.5000 0.5000

***

# 18
LaCe2Nd3N6: optimized geometry, PBE.

* M_tot: 0.0 μB/f.u.
* raw total energy: -98.09 eV/cell
* Fermi-level density of states: 0.445 states/eV per atom
* symmetry: C2/m
* formation energy without anion corrections: -1.42 eV/atom

Cell lengths 6.2991, 6.2991, 6.2895 Å; angles 99.62, 99.62, 119.99 degrees
Positions (direct):
N 0.4279 0.0801 0.2402
Nd 0.8326 0.1674 0.5000
N 0.9199 0.5721 0.7598
N 0.7308 0.7308 0.2380
N 0.0801 0.4279 0.2402
La 0.0000 0.0000 0.0000
N 0.5721 0.9199 0.7598
N 0.2692 0.2692 0.7620
Nd 0.5000 0.5000 0.5000
Nd 0.1674 0.8326 0.5000
Ce 0.6666 0.3334 0.0000
Ce 0.3334 0.6666 0.0000

***

# 19
Zr2Ti2In: optimized geometry, PBE.

* calculated formation energy: -94 meV/atom
* M_tot: 0.0 μB/f.u.
* raw total energy: -72.19 eV/cell
* Fermi-level density of states: 1.254 states/eV per atom
* symmetry: Immm

Cell lengths 3.0450, 6.1213, 12.0536 Å; angles 112.37, 97.26, 90.00 degrees
Positions (direct):
In 0.0001 0.7500 0.0000
Ti 0.7926 0.9394 0.5857
Ti 0.7930 0.4394 0.5857
Zr 0.3904 0.3353 0.7804
Zr 0.6096 0.6647 0.2196
In 0.9999 0.2500 0.0000
Zr 0.6100 0.1647 0.2196
Ti 0.2070 0.5606 0.4143
Ti 0.2074 0.0606 0.4143
Zr 0.3900 0.8353 0.7804

***

# 20
CaHo3Cd2: optimized geometry, PBE.

* calculated formation energy: -126 meV/atom
* M_tot: 0.0 μB/f.u.
* raw total energy: -36.64 eV/cell
* Fermi-level density of states: 1.091 states/eV per atom
* symmetry: C2/m

Cell lengths 5.4562, 9.2389, 9.0976 Å; angles 125.68, 90.00, 107.17 degrees
Positions (direct):
Ho 0.6897 0.3794 0.3842
Ca 0.8623 0.7247 0.9088
Ho 0.0602 0.1204 0.4059
Ho 0.3103 0.6206 0.6158
Cd 0.7685 0.5370 0.1416
Ho 0.6166 0.2331 0.6880
Ho 0.9398 0.8796 0.5941
Ho 0.3834 0.7669 0.3120
Ca 0.1377 0.2753 0.0912
Cd 0.4724 0.9448 0.1173
Cd 0.2315 0.4630 0.8584
Cd 0.5276 0.0552 0.8827